1.
Crystalline ZnCdOs3 at its relaxed geometry. Source: the Alexandria database, functional PBE-GGA.

abc: 4.5311 4.5311 4.5311
angles: 90.00 90.00 90.00
Last column: nearest neighbours and their distance in Å.
Positions (direct):
Zn 0.0000 0.0000 0.0000  6 Os 2.27
Cd 0.5000 0.5000 0.5000  12 Os 3.20
Os 0.0000 0.0000 0.5000  2 Zn 2.27
Os 0.0000 0.5000 0.0000  2 Zn 2.27
Os 0.5000 0.0000 0.0000  2 Zn 2.27

Results
calculated density: 13.4 g/cm3
ΔH_f (0 K): 968 kJ/mol of formula units
energy above the lowest structure with this stoichiometry: 0.0 meV/atom

2.
Crystalline ZnCdOs2 at its relaxed geometry. Source: the Alexandria database, functional PBE-GGA.

abc: 5.0268 5.0268 2.8036
angles: 90.00 90.00 116.81
Last column: nearest neighbours and their distance in Å.
Positions (direct):
Zn 0.0000 0.0000 0.0000  2 Cd 2.63, 2 Zn 2.80, 8 Os 2.88
Cd 0.5000 0.5000 0.0000  2 Zn 2.63, 2 Cd 2.80, 8 Os 2.88
Os 0.0000 0.5000 0.5000  4 Os 2.63-2.80, 4 Cd 2.88, 4 Zn 2.88
Os 0.5000 0.0000 0.5000  4 Os 2.63-2.80, 4 Cd 2.88, 4 Zn 2.88

Results
calculated density: 14.7 g/cm3
ΔH_f (0 K): 272 kJ/mol of formula units
energy above the lowest structure with this stoichiometry: 535.2 meV/atom

Results for total moment: 2.362; 0.000 (in μB/f.u., following the order of the records).